Record 1
VASP calculation (PBE-GGA) on a geometry-optimized La2MgAgC structure.

a b c (Å): 5.301 5.301 4.362
angles (deg): 90.00 90.00 90.00
Atoms (fractional coordinates):
Mg: 0.000 0.000 0.500
C: 0.000 0.000 0.000
Ag: 0.500 0.500 0.500
La: 0.000 0.500 0.000
La: 0.500 0.000 0.000

Results
As for the crystal system: tetragonal. As for the space-group type: No. 123. As for the calculated formation energy: -0.4 eV/f.u.



Record 2
VASP calculation (PBE-GGA) on a geometry-optimized La2BrCl structure.

a b c (Å): 5.271 5.271 5.271
angles (deg): 60.00 60.00 60.00
Atoms (fractional coordinates):
Cl: 0.000 0.000 0.000
Br: 0.500 0.500 0.500
La: 0.250 0.250 0.250
La: 0.750 0.750 0.750

Results
As for the crystal system: cubic. As for the space-group type: No. 225. The calculation puts the formation energy from raw total energies at -1.15 eV per atom.



Record 3
VASP calculation (PBE-GGA) on a geometry-optimized Dy2Al12Pd7 structure.

a b c (Å): 4.200 9.886 9.886
angles (deg): 120.00 90.00 90.00
Atoms (fractional coordinates):
Dy: 0.500 0.000 0.000
Dy: 0.000 0.667 0.333
Al: 0.500 0.933 0.616
Al: 0.500 0.683 0.067
Al: 0.500 0.384 0.317
Al: 0.500 0.255 0.792
Al: 0.500 0.537 0.745
Al: 0.500 0.208 0.463
Al: 0.000 0.038 0.504
Al: 0.000 0.466 0.962
Al: 0.000 0.496 0.534
Al: 0.000 0.821 0.721
Al: 0.000 0.900 0.179
Al: 0.000 0.279 0.100
Pd: 0.000 0.333 0.667
Pd: 0.000 0.108 0.796
Pd: 0.000 0.688 0.892
Pd: 0.000 0.204 0.312
Pd: 0.500 0.660 0.569
Pd: 0.500 0.909 0.340
Pd: 0.500 0.431 0.091

Results
As for the crystal system: hexagonal. As for the space-group type: No. 174. As for the calculated formation energy: -16.2 eV/f.u.



Record 4
VASP calculation (PBE-GGA) on a geometry-optimized LaTlSi2 structure.

a b c (Å): 3.568 3.561 7.178
angles (deg): 90.00 90.00 90.00
Atoms (fractional coordinates):
La: 0.500 0.500 0.788
Si: 0.000 0.000 0.063
Si: 0.500 0.500 0.196
Tl: 0.000 0.000 0.453

Results
As for the crystal system: tetragonal. As for the space-group type: No. 99. The calculation puts the formation energy from raw total energies at -0.07 eV per atom.



Record 5
VASP calculation (PBE-GGA) on a geometry-optimized KReSi2 structure.

a b c (Å): 4.583 4.583 4.583
angles (deg): 60.00 60.00 60.00
Atoms (fractional coordinates):
Re: 0.500 0.500 0.500
K: 0.000 0.000 0.000
Si: 0.250 0.250 0.250
Si: 0.750 0.750 0.750

Results
As for the crystal system: cubic. As for the space-group type: No. 225. The calculation puts the formation energy from raw total energies at 0.95 eV per atom.



Record 6
VASP calculation (PBE-GGA) on a geometry-optimized HoCo4B4 structure.

a b c (Å): 3.813 6.922 6.922
angles (deg): 90.00 90.00 90.00
Atoms (fractional coordinates):
Ho: 0.000 0.000 0.000
Ho: 0.500 0.500 0.500
Co: 0.391 0.359 0.881
Co: 0.891 0.619 0.859
Co: 0.391 0.641 0.119
Co: 0.109 0.141 0.619
Co: 0.609 0.881 0.641
Co: 0.109 0.859 0.381
Co: 0.891 0.381 0.141
Co: 0.609 0.119 0.359
B: 0.606 0.837 0.300
B: 0.606 0.163 0.700
B: 0.106 0.800 0.663
B: 0.894 0.337 0.800
B: 0.894 0.663 0.200
B: 0.394 0.300 0.163
B: 0.394 0.700 0.837
B: 0.106 0.200 0.337

Results
As for the crystal system: tetragonal. As for the space-group type: No. 86. As for the calculated formation energy: -4.7 eV/f.u.